Record 1
## TiV3Mo3 (PBE)

Data for a geometry-optimized TiV3Mo3 structure.

It has space group P-1 (No. 2), with a = 5.348 Å, b = 6.729 Å, c = 6.789 Å, α = 117.99°, β = 98.01° and γ = 97.34°. The distinct sites, in fractional coordinates, are Ti at (0.180, 0.143, 0.433), V at (0.033, 0.439, 0.283), V at (0.107, 0.302, 0.872), V at (0.392, 0.715, 0.146), Mo at (0.245, 0.001, 0.995), Mo at (0.318, 0.856, 0.572) and Mo at (0.466, 0.575, 0.718).

Its size of the total moment is 0.00 μB/f.u. As for the formation energy: -0.085 eV/atom.

=====

Record 2
## TiV2Mo (PBE)

Data for a geometry-optimized TiV2Mo structure.

It has space group P2_1/m (No. 11), with a = 5.124 Å, b = 4.353 Å, c = 5.426 Å, α = 90.00°, β = 100.39° and γ = 90.00°. The distinct sites, in fractional coordinates, are Ti at (0.130, 0.250, 0.188), V at (0.360, 0.750, 0.560), V at (0.406, 0.750, 0.070) and Mo at (0.136, 0.250, 0.689).

Its size of the total moment is 0.00 μB/f.u. As for the formation energy: -0.051 eV/atom.

=====

Record 3
## Ti2V5Mo4 (PBE)

Data for a geometry-optimized Ti2V5Mo4 structure.

It has space group P-1 (No. 2), with a = 3.104 Å, b = 7.052 Å, c = 7.938 Å, α = 106.47°, β = 101.23° and γ = 90.22°. The distinct sites, in fractional coordinates, are Ti at (0.091, 0.457, 0.182), V at (0.000, 0.000, 0.000), V at (0.182, 0.911, 0.363), V at (0.266, 0.355, 0.532), Mo at (0.361, 0.815, 0.720) and Mo at (0.448, 0.261, 0.897).

Its size of the total moment is 0.00 μB/f.u. As for the formation energy: -0.074 eV/atom.

=====

Record 4
## TiV5Mo2 (PBE)

Data for a geometry-optimized TiV5Mo2 structure.

It has space group I4/mmm (No. 139), with a = 6.122 Å, b = 6.122 Å, c = 6.176 Å, α = 90.00°, β = 90.00° and γ = 90.00°. The distinct sites, in fractional coordinates, are Ti at (0.000, 0.000, 0.000), V at (0.000, 0.000, 0.500), V at (0.250, 0.250, 0.250) and Mo at (0.000, 0.500, 0.000).

Its size of the total moment is 0.00 μB/f.u. As for the formation energy: -0.031 eV/atom.

=====

Record 5
## Ti3VMo3 (PBE)

Data for a geometry-optimized Ti3VMo3 structure.

It has space group Cmmm (No. 65), with a = 8.679 Å, b = 8.706 Å, c = 6.182 Å, α = 90.00°, β = 90.00° and γ = 90.00°. The distinct sites, in fractional coordinates, are Ti at (0.000, 0.000, 0.245), Ti at (0.250, 0.250, 0.248), V at (0.188, 0.500, 0.000), Mo at (0.000, 0.262, 0.000), Mo at (0.000, 0.308, 0.500) and Mo at (0.243, 0.500, 0.500).

Its size of the total moment is 0.90 μB/f.u. As for the formation energy: 0.315 eV/atom.

=====

Record 6
## TiV8Mo3 (PBE)

Data for a geometry-optimized TiV8Mo3 structure.

It has space group P3m1 (No. 156), with a = 4.9994 Å, b = 4.9994 Å, c = 8.0084 Å, α = 90.00°, β = 90.00° and γ = 120.00°. The distinct sites, in fractional coordinates, are Ti at (0.0000, 0.0000, 0.0000), V at (0.1635, 0.3270, 0.6852), V at (0.3333, 0.6667, 0.4368), V at (0.3333, 0.6667, 0.9368), V at (0.5032, 0.0063, 0.1882), Mo at (0.0000, 0.0000, 0.3769), Mo at (0.6667, 0.3333, 0.4972) and Mo at (0.6667, 0.3333, 0.8772).

Its size of the total moment is 0.00 μB/f.u. As for the formation energy: -0.013 eV/atom.

=====

Record 7
## Ti2V2Mo (PBE)

Data for a geometry-optimized Ti2V2Mo structure.

It has space group C2/m (No. 12), with a = 7.973 Å, b = 4.583 Å, c = 4.923 Å, α = 90.00°, β = 122.64° and γ = 90.00°. The distinct sites, in fractional coordinates, are Ti at (0.201, 0.000, 0.105), V at (0.092, 0.500, 0.277) and Mo at (0.000, 0.000, 0.500).

Its size of the total moment is 0.00 μB/f.u. As for the formation energy: -0.008 eV/atom.

=====

Record 8
## TiV2Mo (PBE)

Data for a geometry-optimized TiV2Mo structure.

It has space group P6_3/mmc (No. 194), with a = 4.5278 Å, b = 4.5278 Å, c = 7.1965 Å, α = 90.00°, β = 90.00° and γ = 120.00°. The distinct sites, in fractional coordinates, are Ti at (0.0000, 0.0000, 0.2500), V at (0.3333, 0.6667, 0.0826) and Mo at (0.3333, 0.6667, 0.7500).

Its size of the total moment is 0.00 μB/f.u. As for the formation energy: 0.276 eV/atom.